[1]
A geometry-optimized K3AsH structure. Source: Alexandria via LeMat-Bulk, functional PBE-GGA.

- DFT total energy: -2.40 eV per atom
- Calculated density: 2.22 g cm⁻³
- Density of states at the Fermi level: 4.41 states/eV/cell

a = 7.3669 Å, b = 7.3669 Å, c = 18.4219 Å
α = 90.00°, β = 90.00°, γ = 120.00°
Space group R-3m (No. 166, hexagonal axes)
Inequivalent atoms, fractional coordinates:
K (0.0203, 0.5101, 0.4127) (multiplicity 18)
As (0.0000, 0.0000, 0.4285) (multiplicity 6)
H (0.0000, 0.0000, 0.1587) (multiplicity 6)


[2]
A geometry-optimized KAsH2 structure. Source: Alexandria via LeMat-Bulk, functional PBE-GGA.

- DFT total energy: -2.46 eV per atom
- Calculated density: 3.30 g cm⁻³
- Density of states at the Fermi level: 4.71 states/eV/cell

a = 6.161 Å, b = 6.161 Å, c = 6.161 Å
α = 90.00°, β = 90.00°, γ = 90.00°
Space group Fm-3m (No. 225)
Inequivalent atoms, fractional coordinates:
K (0.000, 0.000, 0.000) (multiplicity 4)
As (0.000, 0.000, 0.500) (multiplicity 4)
H (0.250, 0.250, 0.250) (multiplicity 8)


[3]
A geometry-optimized K2AsH4 structure. Source: Alexandria via LeMat-Bulk, functional PBE-GGA.

- DFT total energy: -2.86 eV per atom
- Calculated density: 2.12 g cm⁻³
- Density of states at the Fermi level: 1.67 states/eV/cell

a = 5.462 Å, b = 5.462 Å, c = 8.243 Å
α = 90.00°, β = 90.00°, γ = 90.00°
Space group I4/mmm (No. 139)
Inequivalent atoms, fractional coordinates:
K (0.000, 0.500, 0.250) (multiplicity 4)
As (0.000, 0.000, 0.000) (multiplicity 2)
H (0.225, 0.225, 0.000) (multiplicity 8)


[4]
A geometry-optimized KAsH2 structure. Source: Alexandria via LeMat-Bulk, functional PBE-GGA.

- DFT total energy: -3.34 eV per atom
- Calculated density: 2.21 g cm⁻³
- Density of states at the Fermi level: 0.00 states/eV/cell

a = 14.292 Å, b = 5.489 Å, c = 4.438 Å
α = 90.00°, β = 90.00°, γ = 90.00°
Space group Pnma (No. 62)
Inequivalent atoms, fractional coordinates:
K (0.123, 0.250, 0.246) (multiplicity 4)
As (0.114, 0.750, 0.747) (multiplicity 4)
H (0.190, 0.750, 0.496) (multiplicity 4)
H (0.191, 0.750, 0.994) (multiplicity 4)


[5]
A geometry-optimized K3AsH4 structure. Source: Alexandria via LeMat-Bulk, functional PBE-GGA.

- DFT total energy: -2.75 eV per atom
- Calculated density: 1.70 g cm⁻³
- Density of states at the Fermi level: 0.31 states/eV/cell

a = 10.961 Å, b = 5.279 Å, c = 6.814 Å
α = 90.00°, β = 103.53°, γ = 90.00°
Space group C2/m (No. 12)
Inequivalent atoms, fractional coordinates:
K (0.000, 0.000, 0.000) (multiplicity 2)
K (0.184, 0.000, 0.604) (multiplicity 4)
As (0.000, 0.500, 0.500) (multiplicity 2)
H (0.098, 0.500, 0.126) (multiplicity 4)
H (0.120, 0.500, 0.024) (multiplicity 4)


[6]
A geometry-optimized K2AsH structure. Source: Alexandria via LeMat-Bulk, functional PBE-GGA.

- DFT total energy: -2.41 eV per atom
- Calculated density: 2.02 g cm⁻³
- Density of states at the Fermi level: 4.23 states/eV/cell

a = 7.954 Å, b = 7.954 Å, c = 7.992 Å
α = 90.00°, β = 90.00°, γ = 90.00°
Space group I-42d (No. 122)
Inequivalent atoms, fractional coordinates:
K (0.172, 0.250, 0.125) (multiplicity 8)
As (0.000, 0.000, 0.500) (multiplicity 4)
H (0.000, 0.000, 0.000) (multiplicity 4)


[7]
A geometry-optimized KMg2AsH2 structure. Source: Alexandria via LeMat-Bulk, functional PBE-GGA.

- DFT total energy: -2.97 eV per atom
- Calculated density: 2.13 g cm⁻³
- Density of states at the Fermi level: 0.00 states/eV/cell

a = 5.896 Å, b = 6.390 Å, c = 7.633 Å
α = 65.89°, β = 80.63°, γ = 78.98°
Space group P-1 (No. 2)
Inequivalent atoms, fractional coordinates:
K (0.207, 0.235, 0.492) (multiplicity 2)
Mg (0.047, 0.301, 0.949) (multiplicity 2)
Mg (0.436, 0.731, 0.053) (multiplicity 2)
As (0.273, 0.667, 0.770) (multiplicity 2)
H (0.144, 0.699, 0.228) (multiplicity 2)
H (0.309, 0.077, 0.986) (multiplicity 2)


[8]
A geometry-optimized K2NaAsH structure. Source: Alexandria via LeMat-Bulk, functional PBE-GGA.

- DFT total energy: -2.48 eV per atom
- Calculated density: 2.23 g cm⁻³
- Density of states at the Fermi level: 3.69 states/eV/cell

a = 5.543 Å, b = 5.543 Å, c = 4.287 Å
α = 90.00°, β = 90.00°, γ = 90.00°
Space group P4/mmm (No. 123)
Inequivalent atoms, fractional coordinates:
K (0.000, 0.500, 0.000) (multiplicity 2)
Na (0.000, 0.000, 0.500) (multiplicity 1)
As (0.500, 0.500, 0.500) (multiplicity 1)
H (0.000, 0.000, 0.000) (multiplicity 1)


[9]
A geometry-optimized KNa2As2H2 structure. Source: Alexandria via LeMat-Bulk, functional PBE-GGA.

- DFT total energy: -3.00 eV per atom
- Calculated density: 2.52 g cm⁻³
- Density of states at the Fermi level: 7.88 states/eV/cell

a = 6.115 Å, b = 5.758 Å, c = 9.127 Å
α = 90.00°, β = 103.97°, γ = 90.00°
Space group C2/m (No. 12)
Inequivalent atoms, fractional coordinates:
K (0.000, 0.000, 0.000) (multiplicity 2)
Na (0.248, 0.500, 0.622) (multiplicity 4)
As (0.207, 0.500, 0.279) (multiplicity 4)
H (0.002, 0.500, 0.858) (multiplicity 4)


[10]
A geometry-optimized K2NaAsH structure. Source: Alexandria via LeMat-Bulk, functional PBE-GGA.

- DFT total energy: -1.95 eV per atom
- Calculated density: 1.39 g cm⁻³
- Density of states at the Fermi level: 4.21 states/eV/cell

a = 6.465 Å, b = 6.465 Å, c = 5.053 Å
α = 90.00°, β = 90.00°, γ = 90.00°
Space group P4/mmm (No. 123)
Inequivalent atoms, fractional coordinates:
K (0.000, 0.500, 0.000) (multiplicity 2)
Na (0.000, 0.000, 0.000) (multiplicity 1)
As (0.000, 0.000, 0.500) (multiplicity 1)
H (0.500, 0.500, 0.500) (multiplicity 1)


[11]
A geometry-optimized K2NbAsH structure. Source: Alexandria via LeMat-Bulk, functional PBE-GGA.

- DFT total energy: -3.49 eV per atom
- Calculated density: 1.99 g cm⁻³
- Density of states at the Fermi level: 4.38 states/eV/cell

a = 6.424 Å, b = 6.424 Å, c = 5.007 Å
α = 90.00°, β = 90.00°, γ = 90.00°
Space group P4/mmm (No. 123)
Inequivalent atoms, fractional coordinates:
K (0.000, 0.500, 0.000) (multiplicity 2)
Nb (0.000, 0.000, 0.500) (multiplicity 1)
As (0.000, 0.000, 0.000) (multiplicity 1)
H (0.500, 0.500, 0.500) (multiplicity 1)


[12]
A geometry-optimized KNi2AsH2 structure. Source: Alexandria via LeMat-Bulk, functional PBE-GGA.

- DFT total energy: -4.16 eV per atom
- Calculated density: 3.59 g cm⁻³
- Density of states at the Fermi level: 5.52 states/eV/cell

a = 6.166 Å, b = 4.980 Å, c = 7.367 Å
α = 90.00°, β = 107.15°, γ = 90.00°
Space group P2_1/m (No. 11)
Inequivalent atoms, fractional coordinates:
K (0.190, 0.250, 0.347) (multiplicity 2)
Ni (0.353, 0.000, 0.812) (multiplicity 4)
As (0.326, 0.750, 0.065) (multiplicity 2)
H (0.181, 0.250, 0.722) (multiplicity 2)
H (0.320, 0.750, 0.660) (multiplicity 2)